[1]
Compound: Nd5Ir2
Source: OQMD
Functional: PBE
Structure: relaxed

Uncorrected energy (eV/atom): -6.45
SG: C2/c, No. 15

Cell lengths 8.9536, 8.9536, 7.3380 Å; angles 96.44, 96.44, 43.66 degrees
Closest atoms and distances in Å follow each position.
Element x y z (fractional)
Nd 0.0700 0.9300 0.7500  4 Ir 2.99-3.01
Nd 0.1491 0.2874 0.3156  3 Ir 2.90-3.21
Nd 0.2874 0.1491 0.8156  3 Ir 2.90-3.21
Nd 0.2980 0.5167 0.0802  2 Ir 2.86-2.91
Nd 0.4833 0.7020 0.4198  2 Ir 2.86-2.91
Nd 0.5167 0.2980 0.5802  2 Ir 2.86-2.91
Nd 0.7020 0.4833 0.9198  2 Ir 2.86-2.91
Nd 0.7126 0.8509 0.1844  3 Ir 2.90-3.21
Nd 0.8509 0.7126 0.6844  3 Ir 2.90-3.21
Nd 0.9300 0.0700 0.2500  4 Ir 2.99-3.01
Ir 0.0957 0.6807 0.4246  6 Nd 2.86-3.01
Ir 0.3193 0.9043 0.0754  6 Nd 2.86-3.01
Ir 0.6807 0.0957 0.9246  6 Nd 2.86-3.01
Ir 0.9043 0.3193 0.5754  6 Nd 2.86-3.01

---

[2]
Compound: Nd5Ir3
Source: OQMD
Functional: PBE
Structure: relaxed

E above lowest polymorph (eV per atom): 0.000
SG: P4/ncc, No. 130

Cell lengths 11.2423, 11.2423, 6.5309 Å; angles 90.00, 90.00, 90.00 degrees
Closest atoms and distances in Å follow each position.
Element x y z (fractional)
Nd 0.0418 0.1602 0.1212  5 Ir 2.97-3.26
Nd 0.0418 0.3398 0.6212  5 Ir 2.97-3.26
Nd 0.1602 0.0418 0.6212  5 Ir 2.97-3.26
Nd 0.1602 0.4582 0.1212  5 Ir 2.97-3.26
Nd 0.2500 0.7500 0.0000  4 Ir 2.94, 2 Nd 3.27
Nd 0.2500 0.7500 0.5000  4 Ir 2.94, 2 Nd 3.27
Nd 0.3398 0.0418 0.1212  5 Ir 2.97-3.26
Nd 0.3398 0.4582 0.6212  5 Ir 2.97-3.26
Nd 0.4582 0.1602 0.6212  5 Ir 2.97-3.26
Nd 0.4582 0.3398 0.1212  5 Ir 2.97-3.26
Nd 0.5418 0.6602 0.8788  5 Ir 2.97-3.26
Nd 0.5418 0.8398 0.3788  5 Ir 2.97-3.26
Nd 0.6602 0.5418 0.3788  5 Ir 2.97-3.26
Nd 0.6602 0.9582 0.8788  5 Ir 2.97-3.26
Nd 0.7500 0.2500 0.0000  4 Ir 2.94, 2 Nd 3.27
Nd 0.7500 0.2500 0.5000  4 Ir 2.94, 2 Nd 3.27
Nd 0.8398 0.5418 0.8788  5 Ir 2.97-3.26
Nd 0.8398 0.9582 0.3788  5 Ir 2.97-3.26
Nd 0.9582 0.6602 0.3788  5 Ir 2.97-3.26
Nd 0.9582 0.8398 0.8788  5 Ir 2.97-3.26
Ir 0.0964 0.5964 0.7500  8 Nd 2.94-3.26
Ir 0.0964 0.9036 0.2500  8 Nd 2.94-3.26
Ir 0.2500 0.2500 0.3832  8 Nd 2.99-3.07, 2 Ir 3.27
Ir 0.2500 0.2500 0.8832  8 Nd 2.99-3.07, 2 Ir 3.27
Ir 0.4036 0.5964 0.2500  8 Nd 2.94-3.26
Ir 0.4036 0.9036 0.7500  8 Nd 2.94-3.26
Ir 0.5964 0.0964 0.2500  8 Nd 2.94-3.26
Ir 0.5964 0.4036 0.7500  8 Nd 2.94-3.26
Ir 0.7500 0.7500 0.1168  8 Nd 2.99-3.07, 2 Ir 3.27
Ir 0.7500 0.7500 0.6168  8 Nd 2.99-3.07, 2 Ir 3.27
Ir 0.9036 0.0964 0.7500  8 Nd 2.94-3.26
Ir 0.9036 0.4036 0.2500  8 Nd 2.94-3.26